This record from the Alexandria database describes Dy2SnTe after structural relaxation. The functional is GGA-PBE.

Unit cell a=3.6644 b=3.6644 c=8.0736 alpha=90.00 beta=90.00 gamma=90.00
Atoms (fractional coordinates):
Dy: 0.0000 0.0000 0.2571
Sn: 0.5000 0.5000 0.0000
Te: 0.5000 0.5000 0.5000
Dy: 0.0000 0.0000 0.7429

Properties
E_form (uncorrected) in eV per atom: -0.85
Crystal system: tetragonal
ΔE to the lowest computed polymorph in eV per atom: 0.2051
Energy in eV per cell: -19.767
DOS at the Fermi energy in states/eV/cell: 3.62